# BaNa6Li6 | Alexandria via LeMat-Bulk | PBE | optimized geometry
data_BaNa6Li6
_space_group_name_H-M_alt 'P 1'
_space_group_IT_number 1
_space_group_name_Hall 'P 1'
_cell_length_a 6.2600
_cell_length_b 8.6424
_cell_length_c 8.6424
_cell_angle_alpha 82.98
_cell_angle_beta 68.77
_cell_angle_gamma 68.77
loop_
_atom_site_label
_atom_site_type_symbol
_atom_site_fract_x
_atom_site_fract_y
_atom_site_fract_z
Li1 Li 0.0000 0.5000 0.0000
Li2 Li 0.0000 0.0000 0.5000
Li3 Li 0.5000 0.5000 0.0000
Li4 Li 0.5000 0.0000 0.5000
Li5 Li 0.5000 0.7744 0.2256
Li6 Li 0.5000 0.2256 0.7744
Na1 Na 0.3529 0.6471 0.6471
Na2 Na 0.6471 0.3529 0.3529
Na3 Na 0.0000 0.3469 0.6531
Na4 Na 0.2964 0.2036 0.2036
Na5 Na 0.7036 0.7964 0.7964
Na6 Na 0.0000 0.6531 0.3469
Ba1 Ba 0.0000 0.0000 0.0000
# Energy of formation, meV/atom: 30
# Total moment, Bohr magnetons per cell: 0.00
# Space group: Immm (71)


# BaNa4Li2 | Alexandria via LeMat-Bulk | PBE | optimized geometry
data_BaNa4Li2
_space_group_name_H-M_alt 'P 1'
_space_group_IT_number 1
_space_group_name_Hall 'P 1'
_cell_length_a 5.1615
_cell_length_b 5.0937
_cell_length_c 10.1794
_cell_angle_alpha 104.49
_cell_angle_beta 90.00
_cell_angle_gamma 90.00
loop_
_atom_site_label
_atom_site_type_symbol
_atom_site_fract_x
_atom_site_fract_y
_atom_site_fract_z
Na1 Na 0.5000 0.1813 0.3626
Na2 Na 0.0000 0.3208 0.6416
Na3 Na 0.5000 0.8187 0.6374
Na4 Na 0.0000 0.6792 0.3584
Li1 Li 0.5000 0.4250 0.8499
Li2 Li 0.5000 0.5750 0.1501
Ba1 Ba 0.0000 0.0000 0.0000
# Energy of formation, meV/atom: 34
# Total moment, Bohr magnetons per cell: 0.00
# Space group: Cmmm (65)


# Ba19Na29Li13 | Alexandria via LeMat-Bulk | PBE | optimized geometry
data_Ba19Na29Li13
_space_group_name_H-M_alt 'P 1'
_space_group_IT_number 1
_space_group_name_Hall 'P 1'
_cell_length_a 19.3035
_cell_length_b 19.3035
_cell_length_c 19.3035
_cell_angle_alpha 60.00
_cell_angle_beta 60.00
_cell_angle_gamma 60.00
loop_
_atom_site_label
_atom_site_type_symbol
_atom_site_fract_x
_atom_site_fract_y
_atom_site_fract_z
Na1 Na 0.2677 0.2677 0.8333
Na2 Na 0.1597 0.1597 0.8403
Na3 Na 0.0817 0.7627 0.7627
Na4 Na 0.8946 0.6986 0.8946
Na5 Na 0.6392 0.4549 0.2668
Na6 Na 0.7627 0.7627 0.3929
Na7 Na 0.0817 0.3929 0.7627
Na8 Na 0.4549 0.6392 0.2668
Na9 Na 0.6313 0.2677 0.2677
Na10 Na 0.2668 0.6392 0.4549
Na11 Na 0.0817 0.7627 0.3929
Na12 Na 0.7627 0.3929 0.7627
Na13 Na 0.2668 0.6392 0.6392
Na14 Na 0.4549 0.6392 0.6392
Na15 Na 0.3929 0.7627 0.0817
Na16 Na 0.6392 0.4549 0.6392
Na17 Na 0.2677 0.8333 0.2677
Na18 Na 0.1597 0.8403 0.8403
Na19 Na 0.2677 0.6313 0.2677
Na20 Na 0.8507 0.0498 0.0498
Na21 Na 0.8946 0.8946 0.5121
Na22 Na 0.8946 0.8946 0.6986
Na23 Na 0.8403 0.1597 0.1597
Na24 Na 0.5121 0.8946 0.8946
Na25 Na 0.1597 0.8403 0.1597
Na26 Na 0.6986 0.8946 0.5121
Na27 Na 0.6392 0.6392 0.2668
Na28 Na 0.7627 0.0817 0.7627
Na29 Na 0.2677 0.8333 0.6313
Na30 Na 0.6986 0.5121 0.8946
Na31 Na 0.8333 0.2677 0.6313
Na32 Na 0.7627 0.7627 0.0817
Na33 Na 0.8403 0.8403 0.1597
Na34 Na 0.6313 0.8333 0.2677
Na35 Na 0.0498 0.8507 0.0498
Na36 Na 0.6392 0.6392 0.4549
Na37 Na 0.2677 0.2677 0.6313
Na38 Na 0.5121 0.8946 0.6986
Na39 Na 0.8946 0.5121 0.6986
Na40 Na 0.0498 0.0498 0.0498
Na41 Na 0.8946 0.5121 0.8946
Na42 Na 0.8946 0.6986 0.5121
Na43 Na 0.7627 0.3929 0.0817
Na44 Na 0.3929 0.7627 0.7627
Na45 Na 0.6392 0.2668 0.6392
Na46 Na 0.6392 0.2668 0.4549
Na47 Na 0.8333 0.2677 0.2677
Na48 Na 0.4549 0.2668 0.6392
Na49 Na 0.3929 0.0817 0.7627
Na50 Na 0.2668 0.4549 0.6392
Na51 Na 0.8333 0.6313 0.2677
Na52 Na 0.5121 0.6986 0.8946
Na53 Na 0.6313 0.2677 0.8333
Na54 Na 0.6986 0.8946 0.8946
Na55 Na 0.8403 0.1597 0.8403
Na56 Na 0.2677 0.6313 0.8333
Na57 Na 0.7627 0.0817 0.3929
Na58 Na 0.0498 0.0498 0.8507
Li1 Li 0.3873 0.3873 0.1127
Li2 Li 0.3873 0.1127 0.3873
Li3 Li 0.2891 0.2891 0.2891
Li4 Li 0.2760 0.9944 0.4536
Li5 Li 0.1821 0.1821 0.1821
Li6 Li 0.2891 0.2891 0.1328
Li7 Li 0.2760 0.4536 0.2760
Li8 Li 0.1127 0.1127 0.3873
Li9 Li 0.2760 0.9944 0.2760
Li10 Li 0.1127 0.3873 0.3873
Li11 Li 0.2891 0.1328 0.2891
Li12 Li 0.4537 0.1821 0.1821
Li13 Li 0.9944 0.2760 0.4536
Li14 Li 0.4536 0.2760 0.2760
Li15 Li 0.4536 0.9944 0.2760
Li16 Li 0.2760 0.2760 0.9944
Li17 Li 0.9944 0.4536 0.2760
Li18 Li 0.1328 0.2891 0.2891
Li19 Li 0.2760 0.4536 0.9944
Li20 Li 0.4536 0.2760 0.9944
Li21 Li 0.2760 0.2760 0.4536
Li22 Li 0.9944 0.2760 0.2760
Li23 Li 0.1821 0.1821 0.4537
Li24 Li 0.1821 0.4537 0.1821
Li25 Li 0.3873 0.1127 0.1127
Li26 Li 0.1127 0.3873 0.1127
Ba1 Ba 0.1274 0.4964 0.8797
Ba2 Ba 0.8797 0.1274 0.4964
Ba3 Ba 0.4055 0.4055 0.4055
Ba4 Ba 0.4964 0.1274 0.8797
Ba5 Ba 0.7834 0.4055 0.4055
Ba6 Ba 0.6557 0.6557 0.6557
Ba7 Ba 0.4964 0.4964 0.8797
Ba8 Ba 0.0432 0.2742 0.6395
Ba9 Ba 0.4964 0.8797 0.4964
Ba10 Ba 0.9069 0.9069 0.2792
Ba11 Ba 0.6395 0.0432 0.0432
Ba12 Ba 0.7500 0.7500 0.7500
Ba13 Ba 0.8797 0.4964 0.1274
Ba14 Ba 0.0432 0.0432 0.2742
Ba15 Ba 0.2742 0.6395 0.0432
Ba16 Ba 0.2742 0.0432 0.6395
Ba17 Ba 0.0432 0.6395 0.0432
Ba18 Ba 0.2792 0.9069 0.9069
Ba19 Ba 0.0328 0.6557 0.6557
Ba20 Ba 0.0432 0.0432 0.6395
Ba21 Ba 0.4055 0.4055 0.7834
Ba22 Ba 0.1274 0.8797 0.4964
Ba23 Ba 0.4055 0.7834 0.4055
Ba24 Ba 0.4964 0.4964 0.1274
Ba25 Ba 0.9069 0.9069 0.9069
Ba26 Ba 0.0432 0.6395 0.2742
Ba27 Ba 0.6557 0.0328 0.6557
Ba28 Ba 0.6395 0.2742 0.0432
Ba29 Ba 0.5000 0.5000 0.5000
Ba30 Ba 0.6557 0.6557 0.0328
Ba31 Ba 0.4964 0.8797 0.1274
Ba32 Ba 0.0432 0.2742 0.0432
Ba33 Ba 0.9069 0.2792 0.9069
Ba34 Ba 0.2742 0.0432 0.0432
Ba35 Ba 0.4964 0.1274 0.4964
Ba36 Ba 0.1274 0.4964 0.4964
Ba37 Ba 0.6395 0.0432 0.2742
Ba38 Ba 0.8797 0.4964 0.4964
# Energy of formation, meV/atom: -13
# Total moment, Bohr magnetons per cell: 0.00
# Space group: F-43m (216)


# Ba2Na16Li | Alexandria via LeMat-Bulk | PBE | optimized geometry
data_Ba2Na16Li
_space_group_name_H-M_alt 'P 1'
_space_group_IT_number 1
_space_group_name_Hall 'P 1'
_cell_length_a 9.1602
_cell_length_b 9.1602
_cell_length_c 9.1602
_cell_angle_alpha 82.14
_cell_angle_beta 82.14
_cell_angle_gamma 82.14
loop_
_atom_site_label
_atom_site_type_symbol
_atom_site_fract_x
_atom_site_fract_y
_atom_site_fract_z
Na1 Na 0.3532 0.8501 0.3532
Na2 Na 0.6487 0.6487 0.1486
Na3 Na 0.9995 0.7061 0.2931
Na4 Na 0.5096 0.9949 0.9949
Na5 Na 0.7061 0.2931 0.9995
Na6 Na 0.1486 0.6487 0.6487
Na7 Na 0.7061 0.9995 0.2931
Na8 Na 0.0957 0.0957 0.0957
Na9 Na 0.8501 0.3532 0.3532
Na10 Na 0.9949 0.9949 0.5096
Na11 Na 0.9995 0.2931 0.7061
Na12 Na 0.2931 0.7061 0.9995
Na13 Na 0.2931 0.9995 0.7061
Na14 Na 0.9949 0.5096 0.9949
Na15 Na 0.3532 0.3532 0.8501
Na16 Na 0.6487 0.1486 0.6487
Ba1 Ba 0.3420 0.3420 0.3420
Ba2 Ba 0.6629 0.6629 0.6629
Li1 Li 0.9000 0.9000 0.9000
# Energy of formation, meV/atom: 27
# Total moment, Bohr magnetons per cell: 0.00
# Space group: R3m (160)


# Ba2NaLi | Alexandria via LeMat-Bulk | PBE | optimized geometry
data_Ba2NaLi
_space_group_name_H-M_alt 'P 1'
_space_group_IT_number 1
_space_group_name_Hall 'P 1'
_cell_length_a 9.8903
_cell_length_b 9.8903
_cell_length_c 8.0685
_cell_angle_alpha 52.20
_cell_angle_beta 52.20
_cell_angle_gamma 90.00
loop_
_atom_site_label
_atom_site_type_symbol
_atom_site_fract_x
_atom_site_fract_y
_atom_site_fract_z
Ba1 Ba 0.8750 0.8576 0.7500
Ba2 Ba 0.1424 0.6250 0.2500
Ba3 Ba 0.6076 0.1250 0.2500
Ba4 Ba 0.3750 0.3924 0.7500
Li1 Li 0.5000 0.5000 0.0000
Li2 Li 0.2500 0.7500 0.5000
Na1 Na 0.7500 0.2500 0.5000
Na2 Na 0.0000 0.0000 0.0000
# Distance to the lowest polymorph of the same formula, meV/atom: 168
# Energy of formation, meV/atom: 196
# Total moment, Bohr magnetons per cell: 0.00
# Space group: I-42d (122)


# BaNaLi10 | Alexandria via LeMat-Bulk | PBE | optimized geometry
data_BaNaLi10
_space_group_name_H-M_alt 'P 1'
_space_group_IT_number 1
_space_group_name_Hall 'P 1'
_cell_length_a 4.7941
_cell_length_b 6.1804
_cell_length_c 10.7853
_cell_angle_alpha 90.00
_cell_angle_beta 90.00
_cell_angle_gamma 90.00
loop_
_atom_site_label
_atom_site_type_symbol
_atom_site_fract_x
_atom_site_fract_y
_atom_site_fract_z
Li1 Li 0.5000 0.7538 0.2372
Li2 Li 0.0000 0.5000 0.1537
Li3 Li 0.5000 0.2462 0.7628
Li4 Li 0.5000 0.7538 0.7628
Li5 Li 0.5000 0.0000 0.5000
Li6 Li 0.0000 0.0000 0.3169
Li7 Li 0.5000 0.2462 0.2372
Li8 Li 0.0000 0.0000 0.6831
Li9 Li 0.0000 0.5000 0.8463
Li10 Li 0.5000 0.5000 0.0000
Ba1 Ba 0.0000 0.5000 0.5000
Na1 Na 0.0000 0.0000 0.0000
# Energy of formation, meV/atom: 53
# Total moment, Bohr magnetons per cell: 0.00
# Space group: Pmmm (47)


# Ba2NaLi3 | Alexandria via LeMat-Bulk | PBE | optimized geometry
data_Ba2NaLi3
_space_group_name_H-M_alt 'P 1'
_space_group_IT_number 1
_space_group_name_Hall 'P 1'
_cell_length_a 6.8101
_cell_length_b 6.8101
_cell_length_c 6.8021
_cell_angle_alpha 89.94
_cell_angle_beta 120.10
_cell_angle_gamma 120.01
loop_
_atom_site_label
_atom_site_type_symbol
_atom_site_fract_x
_atom_site_fract_y
_atom_site_fract_z
Ba1 Ba 0.2470 0.6236 0.8706
Ba2 Ba 0.7530 0.3764 0.1294
Li1 Li 0.5000 0.5000 0.5000
Li2 Li 0.5000 0.0000 0.5000
Li3 Li 0.0000 0.0000 0.5000
Na1 Na 0.0000 0.0000 0.0000
# Energy of formation, meV/atom: 33
# Total moment, Bohr magnetons per cell: 0.00
# Space group: R-3m (166)


# BaNa2Li2 | Alexandria via LeMat-Bulk | PBE | optimized geometry
data_BaNa2Li2
_space_group_name_H-M_alt 'P 1'
_space_group_IT_number 1
_space_group_name_Hall 'P 1'
_cell_length_a 4.4028
_cell_length_b 6.3329
_cell_length_c 7.2275
_cell_angle_alpha 101.52
_cell_angle_beta 107.73
_cell_angle_gamma 90.00
loop_
_atom_site_label
_atom_site_type_symbol
_atom_site_fract_x
_atom_site_fract_y
_atom_site_fract_z
Li1 Li 0.7291 0.1356 0.4582
Li2 Li 0.2709 0.8644 0.5418
Ba1 Ba 0.0000 0.0000 0.0000
Na1 Na 0.6349 0.5671 0.2698
Na2 Na 0.3651 0.4329 0.7302
# Distance to the lowest polymorph of the same formula, meV/atom: 0
# Energy of formation, meV/atom: 70
# Total moment, Bohr magnetons per cell: 0.00
# Space group: C2/m (12)


no.,calculated density (Mg/m³)
1,1.30
2,1.56
3,2.20
4,1.44
5,2.57
6,1.19
7,2.37
8,1.74